Record 1
HoEr2Mg3InGa2: optimized geometry, PBE-GGA.

Properties
size of the total moment = 0.00 μB per formula unit
E_tot = -3.465 eV/atom

POSCAR file:
```
HoEr2Mg3InGa2
1.0
-3.4648 1.3695 -2.5854
-1.1559 -6.8772 -2.0937
-3.3606 2.6330 5.8982
Er Ga Ho In Mg
2 2 1 1 3
Cartesian
-2.6272 -5.7233 0.4892 Er
-3.8662 -0.3786 4.9807 Er
-3.6220 -3.0253 -0.7256 Ga
-4.3585 0.1514 1.9440 Ga
-2.5372 -2.3842 2.1372 Ho
-0.0032 -0.0030 0.0027 In
-2.5991 -4.4714 -2.8625 Mg
-2.8622 -0.3769 -0.3411 Mg
-4.2520 2.6589 3.1295 Mg
```

---

Record 2
Ho2ErMg3InGa2: optimized geometry, PBE-GGA.

Properties
size of the total moment = 0.00 μB per formula unit
E_tot = -3.469 eV/atom

POSCAR file:
```
Ho2ErMg3InGa2
1.0
4.5382 0.0000 0.0000
0.0000 6.3049 3.6461
0.0000 -6.3049 3.6461
Er Ga Ho In Mg
1 2 2 1 3
Cartesian
0.0000 0.0000 4.1003 Er
2.2691 2.0973 3.6468 Ga
2.2691 -2.0973 3.6468 Ga
0.0000 2.7612 1.5978 Ho
0.0000 -2.7612 1.5978 Ho
0.0000 0.0000 7.2871 In
2.2691 4.7275 2.7339 Mg
2.2691 0.0000 1.8252 Mg
2.2691 -4.7275 2.7339 Mg
```

---

Record 3
HoErGa2Ir4: optimized geometry, PBE-GGA.

Properties
offset from the most stable computed form = 0.009 eV/atom
size of the total moment = 0.02 μB per formula unit

POSCAR file:
```
HoErGa2Ir4
1.0
-2.5081 -3.5226 0.3055
4.0893 -0.1198 1.4338
-2.7419 2.6496 8.0410
Er Ga Ho Ir
1 2 1 4
Cartesian
-1.3709 1.3248 4.0205 Er
-0.9959 -1.7245 2.6962 Ga
-2.3639 -0.4025 6.7081 Ga
1.8902 -1.2540 1.0577 Ho
-0.4564 0.4411 1.3385 Ir
0.9693 -0.3641 3.7585 Ir
0.0692 0.5057 6.3980 Ir
-2.2854 2.2086 6.7025 Ir
```

---

Record 4
HoErGa2Ir4: optimized geometry, PBE-GGA.

Properties
offset from the most stable computed form = 0.000 eV/atom
size of the total moment = 0.01 μB per formula unit

POSCAR file:
```
HoErGa2Ir4
1.0
-1.9211 -2.6163 3.2113
1.4343 -3.7411 -2.1898
5.4970 0.1237 3.3893
Er Ga Ho Ir
1 2 1 4
Cartesian
2.7485 0.0618 1.6946 Er
0.0000 0.0000 0.0000 Ga
2.5051 -3.1168 2.2054 Ga
-0.2434 -3.1787 0.5108 Ho
0.4166 -1.2772 2.4548 Ir
2.0944 -1.8395 -0.2458 Ir
3.1592 -1.2154 4.1458 Ir
4.8370 -1.7778 1.4452 Ir
```

---

Record 5
HoErGa4Ir2: optimized geometry, PBE-GGA.

Properties
size of the total moment = 0.02 μB per formula unit
E_tot = -5.626 eV/atom

POSCAR file:
```
HoErGa4Ir2
1.0
4.2613 0.0000 0.0000
0.0000 6.8781 0.0000
-2.1295 0.0000 5.0259
Er Ga Ho Ir
1 4 1 2
Cartesian
0.0014 0.0000 0.7906 Er
2.1315 2.0826 1.3873 Ga
2.1315 4.7955 1.3873 Ga
0.0002 1.3524 3.6374 Ga
0.0002 5.5256 3.6374 Ga
2.1302 3.4390 4.2374 Ho
0.0009 3.4390 2.0882 Ir
2.1308 0.0000 2.9381 Ir
```

---

Record 6
Ho2ErMg3Ga3: optimized geometry, PBE-GGA.

Properties
size of the total moment = 0.00 μB per formula unit
E_tot = -3.539 eV/atom

POSCAR file:
```
Ho2ErMg3Ga3
1.0
4.4157 0.0000 0.0000
0.0000 6.2638 3.6225
0.0000 -6.2638 3.6225
Er Ga Ho Mg
1 3 2 3
Cartesian
0.0000 0.0000 4.1454 Er
2.2079 2.0828 3.6235 Ga
2.2079 -2.0828 3.6235 Ga
0.0000 0.0000 7.2390 Ga
0.0000 2.6817 1.5522 Ho
0.0000 -2.6817 1.5522 Ho
2.2079 4.7415 2.7421 Mg
2.2079 0.0000 1.7604 Mg
2.2079 -4.7415 2.7421 Mg
```